[1]
The following is a GGA-PBE calculation of a relaxed BeGaFeW crystal, from OQMD.

Output
DFT total energy: -6.6891 eV per atom

POSCAR file:
```
BeGaFeW
1.0
-3.119 -1.753 2.121
-1.602 1.931 3.317
-3.820 1.634 -0.189
Fe Be W Ga
1 1 1 1
Direct
0.750 0.750 0.750
0.500 0.500 0.500
0.250 0.250 0.250
0.000 0.000 0.000
```

[2]
The following is a GGA-PBE calculation of a relaxed KBePbAu crystal, from OQMD.

Output
DFT total energy: -2.4628 eV per atom

POSCAR file:
```
KBePbAu
1.0
1.572 -1.463 4.610
-1.814 -4.277 2.066
3.015 -4.066 0.487
Be K Au Pb
1 1 1 1
Direct
0.500 0.500 0.500
0.000 0.000 0.000
0.750 0.750 0.750
0.250 0.250 0.250
```

[3]
The following is a GGA-PBE calculation of a relaxed Na4InSnAu2 crystal, from OQMD.

Output
DFT total energy: -2.5753 eV per atom

POSCAR file:
```
Na4InSnAu2
1.0
-0.957 0.625 4.829
-4.854 -0.504 -0.897
0.534 -6.925 1.001
Na Au In Sn
4 2 1 1
Direct
0.000 0.000 0.500
0.500 0.000 0.751
0.000 0.500 0.249
0.500 0.500 0.000
0.500 0.000 0.251
0.000 0.500 0.749
0.000 0.000 0.000
0.500 0.500 0.500
```

[4]
The following is a GGA-PBE calculation of a relaxed Hf5FeSn3 crystal, from OQMD.

Output
DFT total energy: -8.1557 eV per atom

POSCAR file:
```
Hf5FeSn3
1.0
8.615 0.000 0.000
-4.307 7.461 0.000
0.000 0.000 5.771
Hf Sn Fe
10 6 2
Direct
0.333 0.667 0.500
0.242 0.000 0.250
0.000 0.758 0.750
0.758 0.758 0.250
0.667 0.333 0.000
0.758 0.000 0.750
0.667 0.333 0.500
0.333 0.667 0.000
0.242 0.242 0.750
0.000 0.242 0.250
0.401 0.000 0.750
0.599 0.599 0.750
0.599 0.000 0.250
0.401 0.401 0.250
0.000 0.401 0.750
0.000 0.599 0.250
0.000 0.000 0.500
0.000 0.000 0.000
```

[5]
The following is a GGA-PBE calculation of a relaxed LaPr3Se3N4 crystal, from OQMD.

Output
DFT total energy: -6.6569 eV per atom

POSCAR file:
```
LaPr3Se3N4
1.0
-5.470 6.043 0.240
-1.135 -1.305 7.003
1.928 1.475 6.793
Pr La Se N
3 1 3 4
Direct
0.500 0.013 0.013
0.758 0.683 0.683
0.242 0.683 0.683
0.000 0.001 0.001
0.672 0.358 0.358
0.000 0.319 0.319
0.328 0.358 0.358
0.243 0.095 0.095
0.500 0.605 0.605
0.000 0.586 0.586
0.757 0.095 0.095
```

[6]
The following is a GGA-PBE calculation of a relaxed Sm4Si3 crystal, from OQMD.

Output
DFT total energy: -5.6957 eV per atom

POSCAR file:
```
Sm4Si3
1.0
-4.493 4.493 4.493
4.493 -4.493 4.493
4.493 4.493 -4.493
Sm Si
8 6
Direct
0.000 0.132 0.500
0.500 0.000 0.632
0.500 0.000 0.132
0.868 0.868 0.868
0.000 0.632 0.500
0.632 0.500 0.000
0.132 0.500 0.000
0.368 0.368 0.368
0.375 0.625 0.750
0.750 0.375 0.625
0.250 0.125 0.875
0.625 0.750 0.375
0.125 0.875 0.250
0.875 0.250 0.125
```

What is the DFT total energy in the fifth record?
-6.6569 eV per atom

Number 6 is which compound?
Sm4Si3